MnAlSe2N: optimized geometry, PBEsol.

* energy relative to the elements, uncorrected: 0.040 eV per atom
* energy above the most stable polymorph in this dataset: 0.00 eV/f.u.
* SG: P4/mmm (123)
* total energy: -0.2196 hartree per atom
* V: 81.1 Å³ per cell

Cell lengths 4.869, 4.869, 3.423 Å; angles 90.00, 90.00, 90.00 degrees
Element x y z (fractional)
1 Mn 0.000 0.000 0.000
2 Al 0.500 0.500 0.500
3 Se 0.000 0.500 0.000
4 Se 0.500 0.000 0.000
5 N 0.000 0.000 0.500